The following is a DFT calculation (meta-GGA SCAN) of a crystal of Ce3Ge13Ru4 relaxed with PBEsol.

Geometry as POSCAR:
```
Ce3Ge13Ru4
1.0
8.951 0.000 0.000
0.000 8.951 0.000
0.000 0.000 8.951
Ce Ge Ru
6 26 8
Direct
0.000 0.250 0.500 Ce
0.000 0.750 0.500 Ce
0.250 0.500 0.000 Ce
0.500 0.000 0.250 Ce
0.500 0.000 0.750 Ce
0.750 0.500 0.000 Ce
0.000 0.000 0.000 Ge
0.000 0.307 0.149 Ge
0.000 0.307 0.851 Ge
0.000 0.693 0.149 Ge
0.000 0.693 0.851 Ge
0.149 0.000 0.307 Ge
0.149 0.000 0.693 Ge
0.193 0.500 0.351 Ge
0.193 0.500 0.649 Ge
0.307 0.149 0.000 Ge
0.307 0.851 0.000 Ge
0.351 0.193 0.500 Ge
0.351 0.807 0.500 Ge
0.500 0.351 0.193 Ge
0.500 0.351 0.807 Ge
0.500 0.500 0.500 Ge
0.500 0.649 0.193 Ge
0.500 0.649 0.807 Ge
0.649 0.193 0.500 Ge
0.649 0.807 0.500 Ge
0.693 0.149 0.000 Ge
0.693 0.851 0.000 Ge
0.807 0.500 0.351 Ge
0.807 0.500 0.649 Ge
0.851 0.000 0.307 Ge
0.851 0.000 0.693 Ge
0.250 0.250 0.250 Ru
0.250 0.250 0.750 Ru
0.250 0.750 0.250 Ru
0.250 0.750 0.750 Ru
0.750 0.250 0.250 Ru
0.750 0.250 0.750 Ru
0.750 0.750 0.250 Ru
0.750 0.750 0.750 Ru
```

Final energy ... -531.46 eV per formula unit
ΔE_f ... -516 meV per atom
N(E_F) ... 24.8 states/eV/cell
Total magnetic moment ... 0.0001 μB per atom